(1)
Crystalline AlPO at its relaxed geometry. Source: the Alexandria database, functional PBE-GGA.

Lattice parameters (Å, degrees): 3.755 3.084 6.565 90.00 93.19 90.00
Fractional positions:
Al: 0.237 0.250 0.374
Al: 0.763 0.750 0.626
P: 0.203 0.750 0.050
P: 0.797 0.250 0.950
O: 0.256 0.750 0.555
O: 0.744 0.250 0.445

Results
formation energy from raw total energies: -434 kJ/mol of formula units
E above lowest polymorph: 170 meV per atom
total magnetization: 0.00 μB/atom

***

(2)
Crystalline AlPO4 at its relaxed geometry. Source: the Alexandria database, functional PBE-GGA.

Lattice parameters (Å, degrees): 8.905 8.905 13.836 90.99 90.99 34.03
Fractional positions:
Al: 0.049 0.049 0.235
Al: 0.323 0.342 0.081
Al: 0.439 0.259 0.458
Al: 0.658 0.677 0.919
Al: 0.741 0.561 0.542
Al: 0.951 0.951 0.765
P: 0.140 0.158 0.044
P: 0.254 0.075 0.417
P: 0.445 0.445 0.265
P: 0.555 0.555 0.735
P: 0.842 0.860 0.956
P: 0.925 0.746 0.583
O: 0.030 0.241 0.493
O: 0.045 0.674 0.040
O: 0.132 0.039 0.119
O: 0.162 0.091 0.318
O: 0.199 0.752 0.255
O: 0.220 0.498 0.550
O: 0.243 0.218 0.092
O: 0.248 0.801 0.745
O: 0.323 0.185 0.407
O: 0.326 0.955 0.960
O: 0.418 0.333 0.195
O: 0.460 0.376 0.369
O: 0.502 0.780 0.450
O: 0.584 0.145 0.997
O: 0.624 0.540 0.631
O: 0.667 0.582 0.805
O: 0.677 0.300 0.757
O: 0.700 0.323 0.243
O: 0.759 0.970 0.507
O: 0.782 0.757 0.908
O: 0.815 0.677 0.593
O: 0.855 0.416 0.003
O: 0.909 0.838 0.682
O: 0.961 0.868 0.881

Results
formation energy from raw total energies: -1534 kJ/mol of formula units
total magnetization: 0.00 μB/atom

***

(3)
Crystalline AlPO4 at its relaxed geometry. Source: the Alexandria database, functional PBE-GGA.

Lattice parameters (Å, degrees): 6.199 14.495 8.723 90.00 104.57 90.00
Fractional positions:
Al: 0.050 0.104 0.070
Al: 0.050 0.396 0.570
Al: 0.296 0.093 0.621
Al: 0.296 0.407 0.121
Al: 0.341 0.697 0.648
Al: 0.341 0.803 0.148
Al: 0.659 0.197 0.852
Al: 0.659 0.303 0.352
Al: 0.704 0.593 0.879
Al: 0.704 0.907 0.379
Al: 0.950 0.604 0.430
Al: 0.950 0.896 0.930
P: 0.166 0.546 0.825
P: 0.166 0.954 0.325
P: 0.183 0.249 0.363
P: 0.183 0.251 0.863
P: 0.411 0.604 0.327
P: 0.411 0.896 0.827
P: 0.589 0.104 0.173
P: 0.589 0.396 0.673
P: 0.817 0.749 0.137
P: 0.817 0.751 0.637
P: 0.834 0.046 0.675
P: 0.834 0.454 0.175
O: 0.004 0.603 0.891
O: 0.004 0.897 0.391
O: 0.014 0.693 0.595
O: 0.014 0.807 0.095
O: 0.050 0.513 0.651
O: 0.050 0.987 0.151
O: 0.074 0.185 0.230
O: 0.074 0.315 0.730
O: 0.274 0.032 0.431
O: 0.274 0.468 0.931
O: 0.279 0.625 0.462
O: 0.279 0.875 0.962
O: 0.316 0.202 0.512
O: 0.316 0.298 0.012
O: 0.327 0.515 0.243
O: 0.327 0.985 0.743
O: 0.346 0.098 0.084
O: 0.346 0.402 0.584
O: 0.347 0.181 0.811
O: 0.347 0.319 0.311
O: 0.361 0.686 0.210
O: 0.361 0.814 0.710
O: 0.365 0.611 0.805
O: 0.365 0.889 0.305
O: 0.635 0.111 0.695
O: 0.635 0.389 0.195
O: 0.639 0.186 0.290
O: 0.639 0.314 0.790
O: 0.653 0.681 0.689
O: 0.653 0.819 0.189
O: 0.654 0.598 0.416
O: 0.654 0.902 0.916
O: 0.673 0.015 0.257
O: 0.673 0.485 0.757
O: 0.684 0.702 0.988
O: 0.684 0.798 0.488
O: 0.721 0.125 0.038
O: 0.721 0.375 0.538
O: 0.726 0.532 0.069
O: 0.726 0.968 0.569
O: 0.926 0.685 0.270
O: 0.926 0.815 0.770
O: 0.950 0.013 0.849
O: 0.950 0.487 0.349
O: 0.986 0.193 0.905
O: 0.986 0.307 0.405
O: 0.996 0.103 0.609
O: 0.996 0.397 0.109

Results
formation energy from raw total energies: -1488 kJ/mol of formula units
total magnetization: 0.00 μB/atom

***

(4)
Crystalline AlPO at its relaxed geometry. Source: the Alexandria database, functional PBE-GGA.

Lattice parameters (Å, degrees): 2.810 5.349 7.098 69.34 89.50 90.00
Fractional positions:
Al: 0.000 0.000 0.000
Al: 0.500 0.499 0.022
P: 0.507 0.064 0.687
P: 0.508 0.659 0.667
O: 0.498 0.138 0.102
O: 0.998 0.632 0.112

Results
formation energy from raw total energies: -433 kJ/mol of formula units
E above lowest polymorph: 172 meV per atom
total magnetization: 0.00 μB/atom

***

(5)
Crystalline AlP3O9 at its relaxed geometry. Source: the Alexandria database, functional PBE-GGA.

Lattice parameters (Å, degrees): 6.158 15.300 8.301 90.00 105.04 90.00
Fractional positions:
Al: 0.116 0.138 0.375
Al: 0.116 0.362 0.875
Al: 0.884 0.638 0.125
Al: 0.884 0.862 0.625
P: 0.145 0.044 0.718
P: 0.145 0.456 0.218
P: 0.203 0.164 0.016
P: 0.203 0.336 0.516
P: 0.415 0.613 0.212
P: 0.415 0.887 0.712
P: 0.585 0.113 0.288
P: 0.585 0.387 0.788
P: 0.797 0.664 0.484
P: 0.797 0.836 0.984
P: 0.855 0.544 0.782
P: 0.855 0.956 0.282
O: 0.055 0.015 0.336
O: 0.055 0.485 0.836
O: 0.067 0.155 0.141
O: 0.067 0.345 0.641
O: 0.150 0.078 0.901
O: 0.150 0.422 0.401
O: 0.165 0.120 0.609
O: 0.165 0.380 0.109
O: 0.176 0.243 0.909
O: 0.176 0.257 0.409
O: 0.194 0.658 0.147
O: 0.194 0.842 0.647
O: 0.375 0.512 0.256
O: 0.375 0.988 0.756
O: 0.423 0.115 0.395
O: 0.423 0.385 0.895
O: 0.468 0.152 0.106
O: 0.468 0.348 0.606
O: 0.532 0.652 0.394
O: 0.532 0.848 0.894
O: 0.577 0.615 0.105
O: 0.577 0.885 0.605
O: 0.625 0.012 0.244
O: 0.625 0.488 0.744
O: 0.806 0.158 0.353
O: 0.806 0.342 0.853
O: 0.824 0.743 0.591
O: 0.824 0.757 0.091
O: 0.835 0.620 0.891
O: 0.835 0.880 0.391
O: 0.850 0.578 0.599
O: 0.850 0.922 0.099
O: 0.933 0.655 0.359
O: 0.933 0.845 0.859
O: 0.945 0.515 0.164
O: 0.945 0.985 0.664

Results
formation energy from raw total energies: -2957 kJ/mol of formula units
E above lowest polymorph: 0 meV per atom
total magnetization: 0.00 μB/atom

***

(6)
Crystalline AlPO4 at its relaxed geometry. Source: the Alexandria database, functional PBE-GGA.

Lattice parameters (Å, degrees): 5.335 5.335 8.706 90.00 90.00 120.00
Fractional positions:
Al: 0.333 0.667 0.000
Al: 0.667 0.333 0.500
P: 0.333 0.667 0.375
P: 0.667 0.333 0.875
O: 0.021 0.511 0.434
O: 0.333 0.667 0.200
O: 0.489 0.511 0.434
O: 0.489 0.979 0.434
O: 0.511 0.021 0.934
O: 0.511 0.489 0.934
O: 0.667 0.333 0.700
O: 0.979 0.489 0.934

Results
formation energy from raw total energies: -1531 kJ/mol of formula units
total magnetization: 0.00 μB/atom

***

(7)
Crystalline AlP3O at its relaxed geometry. Source: the Alexandria database, functional PBE-GGA.

Lattice parameters (Å, degrees): 4.134 4.134 4.134 90.00 90.00 90.00
Fractional positions:
Al: 0.000 0.000 0.000
P: 0.000 0.500 0.500
P: 0.500 0.000 0.500
P: 0.500 0.500 0.000
O: 0.500 0.500 0.500

Results
formation energy from raw total energies: 219 kJ/mol of formula units
E above lowest polymorph: 0 meV per atom
total magnetization: 0.00 μB/atom

***

(8)
Crystalline AlPO4 at its relaxed geometry. Source: the Alexandria database, functional PBE-GGA.

Lattice parameters (Å, degrees): 5.188 5.188 5.188 121.20 121.20 87.94
Fractional positions:
Al: 0.000 0.000 0.000
P: 0.750 0.250 0.500
O: 0.401 0.043 0.179
O: 0.778 0.599 0.642
O: 0.864 0.222 0.821
O: 0.957 0.136 0.358

Results
formation energy from raw total energies: -1537 kJ/mol of formula units
total magnetization: 0.00 μB/atom